{"formula": "SrCrIO2", "functional": "PBE+U", "state": "optimized geometry", "cell": [[4.282, 0.000, 0.000], [0.000, 4.282, 0.000], [0.000, 0.000, 5.222]], "species": ["Sr", "Cr", "I", "O", "O"], "frac_coords": [[0.000, 0.000, 0.000], [0.500, 0.500, 0.500], [0.500, 0.500, 0.000], [0.000, 0.500, 0.500], [0.500, 0.000, 0.500]], "sg": "P4/mmm, No. 123", "de_polymorph_mev_per_atom": 0, "volume_a3_per_cell": 95.7, "m_tot_mub_per_atom": 0.60}